(1)
Here is a geometry-optimized ZrInAg3 structure from Alexandria. Energies are from PBE.

The structure in CIF format:
```
data_ZrInAg3
_chemical_formula_sum 'Zr1 In1 Ag3'
_cell_length_a 5.031
_cell_length_b 5.031
_cell_length_c 5.031
_cell_angle_alpha 90.00
_cell_angle_beta 90.00
_cell_angle_gamma 90.00
_symmetry_space_group_name_H-M 'P m -3 m'
_symmetry_Int_Tables_number 221
_symmetry_space_group_name_Hall '-P 4 2 3'
loop_
_atom_site_label
_atom_site_fract_x
_atom_site_fract_y
_atom_site_fract_z
Zr1 0.000 0.000 0.000
In1 0.500 0.500 0.500
Ag1 0.000 0.500 0.500
```

Summary:
- Calculated total energy: -3.17 eV per atom
- Mass density: 6908 kg/m3
- ΔE_f: 0.800 eV per atom

(2)
Here is a geometry-optimized Zr2InAg structure from Alexandria. Energies are from PBE.

The structure in CIF format:
```
data_Zr2InAg
_chemical_formula_sum 'Zr2 In1 Ag1'
_cell_length_a 3.121
_cell_length_b 5.113
_cell_length_c 5.329
_cell_angle_alpha 90.00
_cell_angle_beta 90.00
_cell_angle_gamma 90.00
_symmetry_space_group_name_H-M 'P m m 2'
_symmetry_Int_Tables_number 25
loop_
_symmetry_equiv_pos_as_xyz
'x,y,z'
'-x,-y,z'
'-x,y,z'
'x,-y,z'
loop_
_atom_site_label
_atom_site_fract_x
_atom_site_fract_y
_atom_site_fract_z
Zr1 0.000 0.000 0.000
Zr2 0.000 0.500 0.370
In1 0.500 0.000 0.502
Ag1 0.500 0.500 0.859
```

Summary:
- Calculated total energy: -5.81 eV per atom
- Mass density: 7912 kg/m3
- ΔE_f: -0.138 eV per atom

(3)
Here is a geometry-optimized ZrIn2Ag structure from Alexandria. Energies are from PBE.

The structure in CIF format:
```
data_ZrIn2Ag
_chemical_formula_sum 'Zr2 In4 Ag2'
_cell_length_a 3.351
_cell_length_b 5.433
_cell_length_c 9.764
_cell_angle_alpha 90.00
_cell_angle_beta 90.00
_cell_angle_gamma 90.00
_symmetry_space_group_name_H-M 'C m m m'
_symmetry_Int_Tables_number 65
_symmetry_space_group_name_Hall '-C 2 2'
loop_
_atom_site_label
_atom_site_fract_x
_atom_site_fract_y
_atom_site_fract_z
Zr1 0.000 0.000 0.000
In1 0.000 0.500 0.260
Ag1 0.000 0.000 0.500
```

Summary:
- Calculated total energy: -4.27 eV per atom
- Mass density: 8010 kg/m3
- ΔE_f: -0.055 eV per atom

(4)
Here is a geometry-optimized ZrIn2Ag2 structure from Alexandria. Energies are from PBE.

The structure in CIF format:
```
data_ZrIn2Ag2
_chemical_formula_sum 'Zr2 In4 Ag4'
_cell_length_a 8.212
_cell_length_b 8.212
_cell_length_c 3.107
_cell_angle_alpha 90.00
_cell_angle_beta 90.00
_cell_angle_gamma 90.00
_symmetry_space_group_name_H-M 'P 4/m b m'
_symmetry_Int_Tables_number 127
_symmetry_space_group_name_Hall '-P 4 2ab'
loop_
_atom_site_label
_atom_site_fract_x
_atom_site_fract_y
_atom_site_fract_z
Zr1 0.000 0.000 0.000
In1 0.178 0.322 0.500
Ag1 0.121 0.621 0.000
```

Summary:
- Calculated total energy: -3.94 eV per atom
- Mass density: 8506 kg/m3
- ΔE_f: 0.004 eV per atom

(5)
Here is a geometry-optimized ZrIn3Ag structure from Alexandria. Energies are from PBE.

The structure in CIF format:
```
data_ZrIn3Ag
_chemical_formula_sum 'Zr1 In3 Ag1'
_cell_length_a 5.172
_cell_length_b 5.172
_cell_length_c 5.172
_cell_angle_alpha 90.00
_cell_angle_beta 90.00
_cell_angle_gamma 90.00
_symmetry_space_group_name_H-M 'P m -3 m'
_symmetry_Int_Tables_number 221
_symmetry_space_group_name_Hall '-P 4 2 3'
loop_
_atom_site_label
_atom_site_fract_x
_atom_site_fract_y
_atom_site_fract_z
Zr1 0.000 0.000 0.000
In1 0.000 0.500 0.500
Ag1 0.500 0.500 0.500
```

Summary:
- Calculated total energy: -3.31 eV per atom
- Mass density: 6525 kg/m3
- ΔE_f: 0.612 eV per atom

(6)
Here is a geometry-optimized ZrIn2Ag structure from Alexandria. Energies are from PBE.

The structure in CIF format:
```
data_ZrIn2Ag
_chemical_formula_sum 'Zr4 In8 Ag4'
_cell_length_a 7.042
_cell_length_b 7.042
_cell_length_c 7.042
_cell_angle_alpha 90.00
_cell_angle_beta 90.00
_cell_angle_gamma 90.00
_symmetry_space_group_name_H-M 'F -4 3 m'
_symmetry_Int_Tables_number 216
_symmetry_space_group_name_Hall 'F -4 2 3'
loop_
_atom_site_label
_atom_site_fract_x
_atom_site_fract_y
_atom_site_fract_z
Zr1 0.000 0.000 0.000
In1 0.000 0.000 0.500
In2 0.250 0.250 0.750
Ag1 0.250 0.250 0.250
```

Summary:
- Calculated total energy: -4.13 eV per atom
- Mass density: 8156 kg/m3
- ΔE_f: 0.087 eV per atom

(7)
Here is a geometry-optimized Zr2InAg structure from Alexandria. Energies are from PBE.

The structure in CIF format:
```
data_Zr2InAg
_chemical_formula_sum 'Zr8 In4 Ag4'
_cell_length_a 7.063
_cell_length_b 7.063
_cell_length_c 7.063
_cell_angle_alpha 90.00
_cell_angle_beta 90.00
_cell_angle_gamma 90.00
_symmetry_space_group_name_H-M 'F -4 3 m'
_symmetry_Int_Tables_number 216
_symmetry_space_group_name_Hall 'F -4 2 3'
loop_
_atom_site_label
_atom_site_fract_x
_atom_site_fract_y
_atom_site_fract_z
Zr1 0.000 0.000 0.000
Zr2 0.250 0.250 0.250
In1 0.250 0.250 0.750
Ag1 0.000 0.000 0.500
```

Summary:
- Calculated total energy: -5.53 eV per atom
- Mass density: 7636 kg/m3
- ΔE_f: 0.146 eV per atom

(8)
Here is a geometry-optimized ZrIn2Ag structure from Alexandria. Energies are from PBE.

The structure in CIF format:
```
data_ZrIn2Ag
_chemical_formula_sum 'Zr1 In2 Ag1'
_cell_length_a 4.460
_cell_length_b 4.460
_cell_length_c 4.259
_cell_angle_alpha 90.00
_cell_angle_beta 90.00
_cell_angle_gamma 90.00
_symmetry_space_group_name_H-M 'P 4/m m m'
_symmetry_Int_Tables_number 123
_symmetry_space_group_name_Hall '-P 4 2'
loop_
_atom_site_label
_atom_site_fract_x
_atom_site_fract_y
_atom_site_fract_z
Zr1 0.000 0.000 0.000
In1 0.000 0.500 0.500
Ag1 0.500 0.500 0.000
```

Summary:
- Calculated total energy: -4.46 eV per atom
- Mass density: 8404 kg/m3
- ΔE_f: -0.236 eV per atom

(9)
Here is a geometry-optimized Ag2Ir structure from Alexandria. Energies are from PBE.

The structure in CIF format:
```
data_Ag2Ir
_chemical_formula_sum 'Ag8 Ir4'
_cell_length_a 5.638
_cell_length_b 4.521
_cell_length_c 8.159
_cell_angle_alpha 90.00
_cell_angle_beta 90.00
_cell_angle_gamma 90.00
_symmetry_space_group_name_H-M 'P n m a'
_symmetry_Int_Tables_number 62
loop_
_symmetry_equiv_pos_as_xyz
'x,y,z'
'-x,-y,-z'
'-x+1/2,-y,z+1/2'
'x+1/2,y,-z+1/2'
'x+1/2,-y+1/2,-z+1/2'
'-x+1/2,y+1/2,z+1/2'
'-x,y+1/2,-z'
'x,-y+1/2,z'
loop_
_atom_site_label
_atom_site_fract_x
_atom_site_fract_y
_atom_site_fract_z
Ag1 0.001 0.250 0.102
Ag2 0.250 0.250 0.750
Ir1 0.001 0.250 0.444
```

Summary:
- Calculated total energy: -4.49 eV per atom
- Mass density: 13031 kg/m3
- ΔE_f: 0.365 eV per atom

(10)
Here is a geometry-optimized AgIr structure from Alexandria. Energies are from PBE.

The structure in CIF format:
```
data_AgIr
_chemical_formula_sum 'Ag4 Ir4'
_cell_length_a 5.300
_cell_length_b 5.300
_cell_length_c 5.300
_cell_angle_alpha 90.00
_cell_angle_beta 90.00
_cell_angle_gamma 90.00
_symmetry_space_group_name_H-M 'F m -3 m'
_symmetry_Int_Tables_number 225
_symmetry_space_group_name_Hall '-F 4 2 3'
loop_
_atom_site_label
_atom_site_fract_x
_atom_site_fract_y
_atom_site_fract_z
Ag1 0.000 0.000 0.000
Ir1 0.000 0.000 0.500
```

Summary:
- Calculated total energy: -4.37 eV per atom
- Mass density: 13388 kg/m3
- ΔE_f: 1.490 eV per atom

(11)
Here is a geometry-optimized AgIr7 structure from Alexandria. Energies are from PBE.

The structure in CIF format:
```
data_AgIr7
_chemical_formula_sum 'Ag4 Ir28'
_cell_length_a 7.801
_cell_length_b 7.801
_cell_length_c 7.801
_cell_angle_alpha 90.00
_cell_angle_beta 90.00
_cell_angle_gamma 90.00
_symmetry_space_group_name_H-M 'F m -3 m'
_symmetry_Int_Tables_number 225
_symmetry_space_group_name_Hall '-F 4 2 3'
loop_
_atom_site_label
_atom_site_fract_x
_atom_site_fract_y
_atom_site_fract_z
Ag1 0.000 0.000 0.000
Ir1 0.000 0.000 0.500
Ir2 0.000 0.250 0.250
```

Summary:
- Calculated total energy: -7.88 eV per atom
- Mass density: 20334 kg/m3
- ΔE_f: 0.227 eV per atom

(12)
Here is a geometry-optimized AgIr structure from Alexandria. Energies are from PBE.

The structure in CIF format:
```
data_AgIr
_chemical_formula_sum 'Ag4 Ir4'
_cell_length_a 4.762
_cell_length_b 4.688
_cell_length_c 5.735
_cell_angle_alpha 90.00
_cell_angle_beta 90.00
_cell_angle_gamma 90.00
_symmetry_space_group_name_H-M 'P n m a'
_symmetry_Int_Tables_number 62
loop_
_symmetry_equiv_pos_as_xyz
'x,y,z'
'-x,-y,-z'
'-x+1/2,-y,z+1/2'
'x+1/2,y,-z+1/2'
'x+1/2,-y+1/2,-z+1/2'
'-x+1/2,y+1/2,z+1/2'
'-x,y+1/2,-z'
'x,-y+1/2,z'
loop_
_atom_site_label
_atom_site_fract_x
_atom_site_fract_y
_atom_site_fract_z
Ag1 0.053 0.250 0.125
Ir1 0.043 0.250 0.626
```

Summary:
- Calculated total energy: -5.31 eV per atom
- Mass density: 15570 kg/m3
- ΔE_f: 0.550 eV per atom

(13)
Here is a geometry-optimized AgIr structure from Alexandria. Energies are from PBE.

The structure in CIF format:
```
data_AgIr
_chemical_formula_sum 'Ag3 Ir3'
_cell_length_a 2.7658
_cell_length_b 2.7658
_cell_length_c 14.3928
_cell_angle_alpha 90.00
_cell_angle_beta 90.00
_cell_angle_gamma 120.00
_symmetry_space_group_name_H-M 'R -3 m'
_symmetry_Int_Tables_number 166
_symmetry_space_group_name_Hall '-R 3 2"'
loop_
_atom_site_label
_atom_site_fract_x
_atom_site_fract_y
_atom_site_fract_z
Ag1 0.0000 0.0000 0.0000
Ir1 0.0000 0.0000 0.5000
```

Summary:
- Calculated total energy: -5.49 eV per atom
- Mass density: 15678 kg/m3
- ΔE_f: 0.371 eV per atom

(14)
Here is a geometry-optimized AgIr structure from Alexandria. Energies are from PBE.

The structure in CIF format:
```
data_AgIr
_chemical_formula_sum 'Ag6 Ir6'
_cell_length_a 7.258
_cell_length_b 7.258
_cell_length_c 7.258
_cell_angle_alpha 90.00
_cell_angle_beta 90.00
_cell_angle_gamma 90.00
_symmetry_space_group_name_H-M 'P m -3 n'
_symmetry_Int_Tables_number 223
_symmetry_space_group_name_Hall '-P 4n 2 3'
loop_
_atom_site_label
_atom_site_fract_x
_atom_site_fract_y
_atom_site_fract_z
Ag1 0.000 0.250 0.500
Ir1 0.000 0.500 0.250
```

Summary:
- Calculated total energy: -3.69 eV per atom
- Mass density: 7818 kg/m3
- ΔE_f: 2.163 eV per atom